# 1
This record from Alexandria describes a relaxed structure of ReAg4Mo. The functional is PBE.

a b c (Å): 5.2453 5.2453 5.2453
angles (deg): 60.00 60.00 60.00
Closest atoms and distances in Å follow each position.
Fractional positions:
Re: 0.0000 0.0000 0.0000  12 Ag 3.08, 4 Mo 3.21
Ag: 0.1248 0.6251 0.6251  6 Ag 2.62
Ag: 0.6251 0.1248 0.6251  6 Ag 2.62
Ag: 0.6251 0.6251 0.1248  6 Ag 2.62
Ag: 0.6251 0.6251 0.6251  6 Ag 2.62
Mo: 0.2500 0.2500 0.2500  12 Ag 3.08, 4 Re 3.21

Calculated values
The calculation puts the formation energy at 0.94 eV/atom. Its symmetry is F-43m, No. 216. The calculation puts the total moment at 0.00 Bohr magnetons per cell.


# 2
This record from Alexandria describes a relaxed structure of BeTl2Si. The functional is PBE.

a b c (Å): 3.9354 3.9354 7.5750
angles (deg): 105.24 105.24 60.01
Closest atoms and distances in Å follow each position.
Fractional positions:
Be: 0.0000 0.0000 0.0000  3 Si 2.27
Tl: 0.2359 0.2359 0.7118  3 Be 3.08, 3 Si 3.09
Tl: 0.4313 0.4313 0.2906  3 Si 3.08, 3 Be 3.09
Si: 0.6672 0.6672 0.0018  3 Be 2.27

Calculated values
The value obtained for the formation energy (no corrections) is 233.8 meV per atom. Its symmetry is Cm, No. 8. Its energy above the lowest structure with this stoichiometry is 0 meV per atom. The calculation puts the total moment at 0.00 Bohr magnetons per cell.


# 3
This record from Alexandria describes a relaxed structure of Mg2MoRh. The functional is PBE.

a b c (Å): 9.1996 9.1996 9.1996
angles (deg): 18.14 18.14 18.14
Closest atoms and distances in Å follow each position.
Fractional positions:
Mg: 0.2445 0.2445 0.2445  3 Rh 2.69, 6 Mg 2.90, 3 Mo 2.94
Mg: 0.7555 0.7555 0.7555  3 Rh 2.69, 6 Mg 2.90, 3 Mo 2.94
Mo: 0.0000 0.0000 0.0000  6 Mo 2.90, 6 Mg 2.94
Rh: 0.5000 0.5000 0.5000  6 Mg 2.69, 6 Rh 2.90

Calculated values
The calculation puts the formation energy at 0.11 eV/atom. Its symmetry is R-3m, No. 166. Its energy above the lowest structure with this stoichiometry is 201 meV per atom. The calculation puts the total moment at 0.79 Bohr magnetons per cell.


# 4
This record from Alexandria describes a relaxed structure of ThHgPdPt. The functional is PBE.

a b c (Å): 4.9352 4.9352 4.9352
angles (deg): 60.00 60.00 60.00
Closest atoms and distances in Å follow each position.
Fractional positions:
Th: 0.0000 0.0000 0.0000  4 Pd 3.02, 4 Pt 3.02
Hg: 0.5000 0.5000 0.5000  4 Pt 3.02, 4 Pd 3.02
Pd: 0.2500 0.2500 0.2500  4 Hg 3.02, 4 Th 3.02
Pt: 0.7500 0.7500 0.7500  4 Hg 3.02, 4 Th 3.02

Calculated values
The calculation puts the formation energy at -0.72 eV/atom. Its symmetry is F-43m, No. 216. The calculation puts the total moment at 0.00 Bohr magnetons per cell.


# 5
This record from Alexandria describes a relaxed structure of CsCaAsO4. The functional is PBE.

a b c (Å): 5.8979 6.0782 8.0004
angles (deg): 90.00 107.15 90.00
Closest atoms and distances in Å follow each position.
Fractional positions:
Cs: 0.2032 0.2500 0.4327  4 O 2.94-3.25
Cs: 0.7968 0.7500 0.5673  4 O 2.94-3.25
Ca: 0.2935 0.2500 0.9617  6 O 2.38-2.53
Ca: 0.7065 0.7500 0.0383  6 O 2.38-2.53
As: 0.2489 0.7500 0.1510  4 O 1.72-1.74
As: 0.7511 0.2500 0.8490  4 O 1.72-1.74
O: 0.0523 0.7500 0.9434  1 As 1.72
O: 0.0780 0.7500 0.2922  1 As 1.72
O: 0.4422 0.5287 0.1740  1 As 1.74
O: 0.4422 0.9713 0.1740  1 As 1.74
O: 0.5578 0.0287 0.8260  1 As 1.74
O: 0.5578 0.4713 0.8260  1 As 1.74
O: 0.9220 0.2500 0.7078  1 As 1.72
O: 0.9477 0.2500 0.0566  1 As 1.72

Calculated values
The value obtained for the formation energy (no corrections) is -2055.4 meV per atom. Its symmetry is P2_1/m, No. 11. The calculation puts the total moment at 0.15 Bohr magnetons per cell.


# 6
This record from Alexandria describes a relaxed structure of GdHoTe2. The functional is PBE.

a b c (Å): 3.7901 3.7901 7.5890
angles (deg): 90.00 90.00 90.00
Closest atoms and distances in Å follow each position.
Fractional positions:
Gd: 0.0000 0.0000 0.0000  8 Te 3.30
Ho: 0.0000 0.0000 0.5000  8 Te 3.27
Te: 0.5000 0.5000 0.2542  4 Ho 3.27, 4 Gd 3.30
Te: 0.5000 0.5000 0.7458  4 Ho 3.27, 4 Gd 3.30

Calculated values
The value obtained for the formation energy (no corrections) is -1206.3 meV per atom. Its symmetry is P4/mmm, No. 123. Its energy above the lowest structure with this stoichiometry is 128 meV per atom. The calculation puts the total moment at 8.16 Bohr magnetons per cell.


# 7
This record from Alexandria describes a relaxed structure of SnGe2Pd9. The functional is PBE.

a b c (Å): 3.9750 3.9750 11.8752
angles (deg): 90.00 90.00 90.00
Closest atoms and distances in Å follow each position.
Fractional positions:
Sn: 0.0000 0.0000 0.0000  12 Pd 2.81-2.86
Ge: 0.0000 0.0000 0.3361  12 Pd 2.77-2.81
Ge: 0.0000 0.0000 0.6639  12 Pd 2.77-2.81
Pd: 0.0000 0.5000 0.1735  2 Ge 2.77, 8 Pd 2.78-2.86, 2 Sn 2.86
Pd: 0.0000 0.5000 0.5000  8 Pd 2.78-2.81, 4 Ge 2.78
Pd: 0.0000 0.5000 0.8265  2 Ge 2.77, 8 Pd 2.78-2.86, 2 Sn 2.86
Pd: 0.5000 0.0000 0.1735  2 Ge 2.77, 8 Pd 2.78-2.86, 2 Sn 2.86
Pd: 0.5000 0.0000 0.5000  8 Pd 2.78-2.81, 4 Ge 2.78
Pd: 0.5000 0.0000 0.8265  2 Ge 2.77, 8 Pd 2.78-2.86, 2 Sn 2.86
Pd: 0.5000 0.5000 0.0000  4 Sn 2.81, 8 Pd 2.86
Pd: 0.5000 0.5000 0.3368  8 Pd 2.78, 4 Ge 2.81
Pd: 0.5000 0.5000 0.6632  8 Pd 2.78, 4 Ge 2.81

Calculated values
The calculation puts the formation energy at -0.42 eV/atom. Its symmetry is P4/mmm, No. 123. The calculation puts the total moment at 0.00 Bohr magnetons per cell.


# 8
This record from Alexandria describes a relaxed structure of InCoIr2. The functional is PBE.

a b c (Å): 2.8706 3.5932 5.9046
angles (deg): 90.00 90.00 90.00
Closest atoms and distances in Å follow each position.
Fractional positions:
In: 0.0000 0.0000 0.0000  8 Ir 2.82, 2 In 2.87, 2 Co 2.95
Co: 0.0000 0.0000 0.5000  8 Ir 2.65, 2 Co 2.87, 2 In 2.95
Ir: 0.5000 0.5000 0.2760  3 Ir 2.65-2.87, 4 Co 2.65, 4 In 2.82
Ir: 0.5000 0.5000 0.7240  3 Ir 2.65-2.87, 4 Co 2.65, 4 In 2.82

Calculated values
The calculation puts the formation energy at 0.13 eV/atom. Its symmetry is Pmmm, No. 47. The calculation puts the total moment at 2.76 Bohr magnetons per cell.